VASP calculation (PBE+U) on crystalline Nd3Fe5O12 at its relaxed geometry.

a b c (Å): 10.9591 10.9591 10.9591
angles (deg): 109.47 109.47 109.47
Fractional coordinates of all 80 atoms:
Nd1 0.1250 0.2500 0.3750
Nd2 0.1250 0.3750 0.7500
Nd3 0.2500 0.3750 0.1250
Nd4 0.2500 0.8750 0.6250
Nd5 0.3750 0.1250 0.2500
Nd6 0.3750 0.7500 0.1250
Nd7 0.6250 0.2500 0.8750
Nd8 0.6250 0.8750 0.7500
Nd9 0.7500 0.1250 0.3750
Nd10 0.7500 0.6250 0.8750
Nd11 0.8750 0.6250 0.2500
Nd12 0.8750 0.7500 0.6250
Fe1 0.0000 0.0000 0.0000
Fe2 0.0000 0.0000 0.5000
Fe3 0.0000 0.5000 0.0000
Fe4 0.0000 0.5000 0.5000
Fe5 0.1250 0.7500 0.8750
Fe6 0.1250 0.8750 0.2500
Fe7 0.2500 0.1250 0.8750
Fe8 0.2500 0.6250 0.3750
Fe9 0.3750 0.2500 0.6250
Fe10 0.3750 0.6250 0.7500
Fe11 0.5000 0.0000 0.0000
Fe12 0.5000 0.0000 0.5000
Fe13 0.5000 0.5000 0.0000
Fe14 0.5000 0.5000 0.5000
Fe15 0.6250 0.3750 0.2500
Fe16 0.6250 0.7500 0.3750
Fe17 0.7500 0.3750 0.6250
Fe18 0.7500 0.8750 0.1250
Fe19 0.8750 0.1250 0.7500
Fe20 0.8750 0.2500 0.1250
O1 0.0237 0.1990 0.1187
O2 0.0237 0.3248 0.9050
O3 0.0803 0.6990 0.6752
O4 0.0803 0.8813 0.4050
O5 0.0950 0.6187 0.4197
O6 0.0950 0.9763 0.6752
O7 0.1187 0.0237 0.1990
O8 0.1187 0.5950 0.9197
O9 0.1752 0.1990 0.5803
O10 0.1752 0.4763 0.5950
O11 0.1990 0.1187 0.0237
O12 0.1990 0.5803 0.1752
O13 0.3010 0.3248 0.9197
O14 0.3010 0.4763 0.3813
O15 0.3248 0.9050 0.0237
O16 0.3248 0.9197 0.3010
O17 0.3813 0.3010 0.4763
O18 0.3813 0.5803 0.9050
O19 0.4050 0.0803 0.8813
O20 0.4050 0.8248 0.5237
O21 0.4197 0.0950 0.6187
O22 0.4197 0.8248 0.8010
O23 0.4763 0.3813 0.3010
O24 0.4763 0.5950 0.1752
O25 0.5237 0.4050 0.8248
O26 0.5237 0.6187 0.6990
O27 0.5803 0.1752 0.1990
O28 0.5803 0.9050 0.3813
O29 0.5950 0.1752 0.4763
O30 0.5950 0.9197 0.1187
O31 0.6187 0.4197 0.0950
O32 0.6187 0.6990 0.5237
O33 0.6752 0.0803 0.6990
O34 0.6752 0.0950 0.9763
O35 0.6990 0.5237 0.6187
O36 0.6990 0.6752 0.0803
O37 0.8010 0.4197 0.8248
O38 0.8010 0.8813 0.9763
O39 0.8248 0.5237 0.4050
O40 0.8248 0.8010 0.4197
O41 0.8813 0.4050 0.0803
O42 0.8813 0.9763 0.8010
O43 0.9050 0.0237 0.3248
O44 0.9050 0.3813 0.5803
O45 0.9197 0.1187 0.5950
O46 0.9197 0.3010 0.3248
O47 0.9763 0.6752 0.0950
O48 0.9763 0.8010 0.8813

Results
spin magnetization: 68.0 μB per cell
raw total energy: -565.623 eV/cell
ρ: 5.93 g cm⁻³
V: 12.665 A^3/atom